# 1
Computed, not measured: a geometry-optimized CrMoHI2 structure at the PBE level of DFT.

Properties
* magnetization: 1.18 μB per atom

Cell and atoms, written as POSCAR:
```
CrMoHI2
1.0
5.163 0.000 0.000
0.000 5.163 0.000
0.000 0.000 3.478
Cr Mo H I
1 1 1 2
direct
0.000 0.000 0.000
0.500 0.500 0.000
0.000 0.000 0.500
0.000 0.500 0.500
0.500 0.000 0.500
```

=====

# 2
Computed, not measured: a geometry-optimized Sr2CrN structure at the PBE level of DFT.

Properties
* magnetization: 0.74 μB per atom
* energy relative to the elements, uncorrected: -0.2023 eV/atom

Cell and atoms, written as POSCAR:
```
Sr2CrN
1.0
-5.362 5.362 1.898
5.362 -5.362 1.898
5.362 5.362 -1.898
Sr Cr N
4 2 2
direct
0.375 0.188 0.313
0.812 0.125 0.187
0.875 0.062 0.687
0.938 0.625 0.813
0.250 0.750 0.500
0.500 0.500 0.000
0.000 0.000 0.000
0.750 0.250 0.500
```

=====

# 3
Computed, not measured: a geometry-optimized ZnSiN2 structure at the PBE level of DFT.

Properties
* magnetization: 0.00 μB per atom
* energy relative to the elements, uncorrected: 0.3894 eV/atom

Cell and atoms, written as POSCAR:
```
ZnSiN2
1.0
1.670 0.964 5.386
-1.670 0.964 5.386
0.000 -1.928 5.386
Zn Si N
1 1 2
direct
0.000 0.000 0.000
0.500 0.500 0.500
0.400 0.400 0.400
0.600 0.600 0.600
```

=====

# 4
Computed, not measured: a geometry-optimized Ce2Cd15In2 structure at the PBE level of DFT.

Properties
* magnetization: 0.13 μB per atom

Cell and atoms, written as POSCAR:
```
Ce2Cd15In2
1.0
5.130 2.962 4.920
-5.130 2.962 4.920
0.000 -5.923 4.920
Ce Cd In
2 15 2
direct
0.169 0.169 0.169
0.831 0.831 0.831
0.000 0.500 0.500
0.144 0.144 0.669
0.144 0.669 0.144
0.190 0.500 0.810
0.190 0.810 0.500
0.331 0.856 0.856
0.500 0.000 0.500
0.500 0.190 0.810
0.500 0.500 0.000
0.500 0.810 0.190
0.669 0.144 0.144
0.810 0.190 0.500
0.810 0.500 0.190
0.856 0.331 0.856
0.856 0.856 0.331
0.399 0.399 0.399
0.601 0.601 0.601
```

=====

# 5
Computed, not measured: a geometry-optimized TmZr2Mo structure at the PBE level of DFT.

Properties
* magnetization: 0.00 μB per atom
* ΔE to the lowest computed polymorph: 0 meV per atom

Cell and atoms, written as POSCAR:
```
TmZr2Mo
1.0
3.444 0.000 0.000
0.000 3.444 0.000
0.000 0.000 7.605
Tm Zr Mo
1 2 1
direct
0.000 0.000 0.000
0.500 0.500 0.298
0.500 0.500 0.702
0.000 0.000 0.500
```

=====

# 6
Computed, not measured: a geometry-optimized ZrAs2Se structure at the PBE level of DFT.

Properties
* magnetization: 0.00 μB per atom
* energy relative to the elements, uncorrected: -0.7454 eV/atom

Cell and atoms, written as POSCAR:
```
ZrAs2Se
1.0
3.673 0.000 0.000
0.000 3.670 0.000
-0.707 0.000 7.483
Zr As Se
1 2 1
direct
0.000 0.000 0.000
0.442 0.000 0.699
0.942 0.500 0.701
0.528 0.500 0.148
```

=====

# 7
Computed, not measured: a geometry-optimized Pr6Nd2Dy3Tl structure at the PBE level of DFT.

Properties
* magnetization: 0.00 μB per atom

Cell and atoms, written as POSCAR:
```
Pr6Nd2Dy3Tl
1.0
3.132 -5.440 0.000
3.132 5.440 0.000
-2.108 0.000 11.818
Pr Nd Dy Tl
6 2 3 1
direct
0.084 0.410 0.751
0.242 0.242 0.248
0.410 0.084 0.751
0.590 0.916 0.249
0.758 0.758 0.752
0.916 0.590 0.249
0.334 0.666 0.500
0.666 0.334 0.500
0.167 0.833 0.000
0.500 0.500 0.000
0.833 0.167 0.000
0.000 0.000 0.500
```

=====

# 8
Computed, not measured: a geometry-optimized Au2SeBr structure at the PBE level of DFT.

Properties
* magnetization: 0.00 μB per atom
* ΔE to the lowest computed polymorph: 188 meV per atom
* energy relative to the elements, uncorrected: 0.2033 eV/atom

Cell and atoms, written as POSCAR:
```
Au2SeBr
1.0
-1.850 3.809 4.019
1.850 -3.809 4.019
1.850 3.809 -4.019
Au Se Br
2 1 1
direct
0.238 0.000 0.238
0.762 0.000 0.762
0.000 0.500 0.500
0.500 0.500 0.000
```

=====

# 9
Computed, not measured: a geometry-optimized Ca2Si4Ir3Pt structure at the PBE level of DFT.

Properties
* magnetization: 0.00 μB per atom
* energy relative to the elements, uncorrected: -0.8907 eV/atom

Cell and atoms, written as POSCAR:
```
Ca2Si4Ir3Pt
1.0
4.113 0.000 0.000
0.000 4.113 0.000
0.000 0.000 10.144
Ca Si Ir Pt
2 4 3 1
direct
0.000 0.500 0.245
0.500 0.000 0.755
0.000 0.000 0.000
0.000 0.500 0.634
0.500 0.000 0.366
0.500 0.500 0.000
0.000 0.500 0.873
0.500 0.000 0.127
0.500 0.500 0.500
0.000 0.000 0.500
```

=====

# 10
Computed, not measured: a geometry-optimized Sm3HoAl structure at the PBE level of DFT.

Properties
* magnetization: 0.00 μB per atom
* ΔE to the lowest computed polymorph: 220 meV per atom

Cell and atoms, written as POSCAR:
```
Sm3HoAl
1.0
5.224 0.000 0.000
0.000 4.705 3.258
0.000 -4.705 3.258
Sm Ho Al
3 1 1
direct
0.000 0.000 0.000
0.500 0.542 0.909
0.500 0.909 0.542
0.000 0.474 0.474
0.500 0.248 0.248
```

=====

# 11
Computed, not measured: a geometry-optimized CuAg3 structure at the PBE level of DFT.

Properties
* magnetization: 0.00 μB per atom

Cell and atoms, written as POSCAR:
```
CuAg3
1.0
1.455 0.840 9.102
-1.455 0.840 9.102
0.000 -1.680 9.102
Cu Ag
1 3
direct
0.000 0.000 0.000
0.255 0.255 0.255
0.500 0.500 0.500
0.745 0.745 0.745
```

=====

# 12
Computed, not measured: a geometry-optimized K2BeAsO6 structure at the PBE level of DFT.

Properties
* magnetization: 0.30 μB per atom
* energy relative to the elements, uncorrected: -1.1706 eV/atom

Cell and atoms, written as POSCAR:
```
K2BeAsO6
1.0
5.895 0.000 0.000
-2.947 5.105 0.000
0.000 0.000 4.861
K Be As O
2 1 1 6
direct
0.333 0.667 0.301
0.667 0.333 0.699
0.000 0.000 0.500
0.000 0.000 0.000
0.136 0.272 0.753
0.136 0.864 0.753
0.272 0.136 0.247
0.728 0.864 0.753
0.864 0.136 0.247
0.864 0.728 0.247
```

=====

# 13
Computed, not measured: a geometry-optimized NbAgSb2Cl structure at the PBE level of DFT.

Properties
* magnetization: 0.46 μB per atom
* energy relative to the elements, uncorrected: 0.9223 eV/atom

Cell and atoms, written as POSCAR:
```
NbAgSb2Cl
1.0
5.374 0.000 0.000
0.000 5.374 0.000
0.000 0.000 4.757
Nb Ag Sb Cl
1 1 2 1
direct
0.000 0.000 0.000
0.500 0.500 0.500
0.000 0.500 0.500
0.500 0.000 0.500
0.500 0.500 0.000
```

=====

# 14
Computed, not measured: a geometry-optimized Ag2GeAs2 structure at the PBE level of DFT.

Properties
* magnetization: 0.00 μB per atom

Cell and atoms, written as POSCAR:
```
Ag2GeAs2
1.0
8.124 0.000 0.000
0.000 8.124 0.000
0.000 0.000 2.992
Ag Ge As
4 2 4
direct
0.125 0.375 0.000
0.375 0.875 0.000
0.625 0.125 0.000
0.875 0.625 0.000
0.000 0.000 0.500
0.500 0.500 0.500
0.176 0.676 0.500
0.324 0.176 0.500
0.676 0.824 0.500
0.824 0.324 0.500
```

=====

# 15
Computed, not measured: a geometry-optimized NaLiY2F8 structure at the PBE level of DFT.

Properties
* magnetization: 0.00 μB per atom
* ΔE to the lowest computed polymorph: 36 meV per atom
* energy relative to the elements, uncorrected: -3.6819 eV/atom

Cell and atoms, written as POSCAR:
```
NaLiY2F8
1.0
3.835 0.000 0.000
0.096 5.460 0.000
0.015 0.712 7.574
Na Li Y F
1 1 2 8
direct
0.000 0.000 0.000
0.000 0.000 0.500
0.499 0.471 0.254
0.501 0.529 0.746
0.006 0.314 0.765
0.007 0.216 0.278
0.488 0.741 0.476
0.495 0.735 0.989
0.505 0.265 0.011
0.512 0.259 0.524
0.993 0.784 0.722
0.994 0.686 0.235
```

=====

# 16
Computed, not measured: a geometry-optimized In2NiAs structure at the PBE level of DFT.

Properties
* magnetization: 0.00 μB per atom

Cell and atoms, written as POSCAR:
```
In2NiAs
1.0
2.951 -3.900 0.000
2.951 3.900 0.000
0.000 0.000 3.383
In Ni As
2 1 1
direct
0.000 0.500 0.000
0.500 0.000 0.000
0.000 0.000 0.500
0.500 0.500 0.500
```

=====

# 17
Computed, not measured: a geometry-optimized Ac2PmPu3Te6 structure at the PBE level of DFT.

Properties
* magnetization: 1.49 μB per atom
* energy relative to the elements, uncorrected: -1.2771 eV/atom

Cell and atoms, written as POSCAR:
```
Ac2PmPu3Te6
1.0
9.927 -2.265 0.000
9.927 2.265 0.000
-2.181 0.000 8.861
Ac Pm Pu Te
2 1 3 6
direct
0.164 0.164 0.330
0.836 0.836 0.670
0.500 0.500 0.000
0.169 0.169 0.835
0.500 0.500 0.500
0.831 0.831 0.165
0.006 0.006 0.752
0.334 0.334 0.931
0.337 0.337 0.405
0.663 0.663 0.595
0.666 0.666 0.069
0.994 0.994 0.248
```

=====

# 18
Computed, not measured: a geometry-optimized ScIn2Mo structure at the PBE level of DFT.

Properties
* magnetization: 0.09 μB per atom
* ΔE to the lowest computed polymorph: 229 meV per atom

Cell and atoms, written as POSCAR:
```
ScIn2Mo
1.0
1.567 0.905 9.788
-1.567 0.905 9.788
0.000 -1.810 9.788
Sc In Mo
1 2 1
direct
0.000 0.000 0.000
0.245 0.245 0.245
0.755 0.755 0.755
0.500 0.500 0.500
```

=====

# 19
Computed, not measured: a geometry-optimized AgTePt2 structure at the PBE level of DFT.

Properties
* magnetization: 0.00 μB per atom
* energy relative to the elements, uncorrected: 0.0805 eV/atom

Cell and atoms, written as POSCAR:
```
AgTePt2
1.0
1.950 1.126 6.429
-1.950 1.126 6.429
0.000 -2.252 6.429
Ag Te Pt
1 1 2
direct
0.000 0.000 0.000
0.225 0.225 0.225
0.485 0.485 0.485
0.748 0.748 0.748
```

=====

# 20
Computed, not measured: a geometry-optimized Cr2FeP2 structure at the PBE level of DFT.

Properties
* magnetization: 0.64 μB per atom
* ΔE to the lowest computed polymorph: 562 meV per atom

Cell and atoms, written as POSCAR:
```
Cr2FeP2
1.0
-2.120 2.120 3.829
2.120 -2.120 3.829
2.120 2.120 -3.829
Cr Fe P
2 1 2
direct
0.128 0.128 0.000
0.872 0.872 0.000
0.500 0.500 0.000
0.250 0.750 0.500
0.750 0.250 0.500
```

=====

# 21
Computed, not measured: a geometry-optimized RuPbBr structure at the PBE level of DFT.

Properties
* magnetization: 0.02 μB per atom
* ΔE to the lowest computed polymorph: 117 meV per atom
* energy relative to the elements, uncorrected: 0.5135 eV/atom

Cell and atoms, written as POSCAR:
```
RuPbBr
1.0
0.000 3.273 3.273
3.273 0.000 3.273
3.273 3.273 0.000
Ru Pb Br
1 1 1
direct
0.000 0.000 0.000
0.250 0.250 0.250
0.750 0.750 0.750
```

=====

# 22
Computed, not measured: a geometry-optimized Li2AgOs structure at the PBE level of DFT.

Properties
* magnetization: 0.00 μB per atom
* ΔE to the lowest computed polymorph: 174 meV per atom

Cell and atoms, written as POSCAR:
```
Li2AgOs
1.0
-1.314 2.453 4.608
1.314 -2.453 4.608
1.314 2.453 -4.608
Li Ag Os
2 1 1
direct
0.249 0.249 0.000
0.751 0.751 0.000
0.000 0.500 0.500
0.500 0.000 0.500
```

=====

# 23
Computed, not measured: a geometry-optimized Sn3PtBr structure at the PBE level of DFT.

Properties
* magnetization: 0.00 μB per atom
* ΔE to the lowest computed polymorph: 1033 meV per atom
* energy relative to the elements, uncorrected: 0.9746 eV/atom

Cell and atoms, written as POSCAR:
```
Sn3PtBr
1.0
5.430 0.000 0.000
0.000 5.430 0.000
0.000 0.000 5.430
Sn Pt Br
3 1 1
direct
0.000 0.000 0.500
0.000 0.500 0.000
0.500 0.000 0.000
0.500 0.500 0.500
0.000 0.000 0.000
```

=====

# 24
Computed, not measured: a geometry-optimized Ca4Pa3TaN8 structure at the PBE level of DFT.

Properties
* magnetization: 0.00 μB per atom
* energy relative to the elements, uncorrected: -1.3783 eV/atom

Cell and atoms, written as POSCAR:
```
Ca4Pa3TaN8
1.0
3.455 1.995 5.670
-3.455 1.995 5.670
0.000 -3.989 5.670
Ca Pa Ta N
4 3 1 8
direct
0.000 0.000 0.000
0.000 0.500 0.500
0.500 0.000 0.500
0.500 0.500 0.000
0.000 0.000 0.500
0.000 0.500 0.000
0.500 0.000 0.000
0.500 0.500 0.500
0.240 0.240 0.240
0.250 0.731 0.731
0.269 0.269 0.750
0.269 0.750 0.269
0.731 0.250 0.731
0.731 0.731 0.250
0.750 0.269 0.269
0.760 0.760 0.760
```

=====

# 25
Computed, not measured: a geometry-optimized ScRh3Au structure at the PBE level of DFT.

Properties
* magnetization: 0.10 μB per atom
* ΔE to the lowest computed polymorph: 253 meV per atom

Cell and atoms, written as POSCAR:
```
ScRh3Au
1.0
4.832 0.000 0.000
0.000 4.832 0.000
0.000 0.000 4.832
Sc Rh Au
1 3 1
direct
0.000 0.000 0.000
0.000 0.500 0.500
0.500 0.000 0.500
0.500 0.500 0.000
0.500 0.500 0.500
```

=====

# 26
Computed, not measured: a geometry-optimized CuP2O2 structure at the PBE level of DFT.

Properties
* magnetization: 0.00 μB per atom
* ΔE to the lowest computed polymorph: 1257 meV per atom
* energy relative to the elements, uncorrected: 0.7173 eV/atom

Cell and atoms, written as POSCAR:
```
CuP2O2
1.0
3.909 0.000 0.000
0.000 3.909 0.000
0.000 0.000 4.015
Cu P O
1 2 2
direct
0.000 0.000 0.000
0.000 0.500 0.500
0.500 0.000 0.500
0.500 0.500 0.000
0.500 0.500 0.500
```

=====

no.,calculated total energy (eV per cell),calculated volume (Å³ per atom)
1,-22.25,18.54
2,-44.24,27.28
3,-21.79,13.01
4,-33.25,23.61
5,-32.17,22.56
6,-24.31,25.22
7,-54.69,33.56
8,-10.90,28.32
9,-67.23,17.16
10,-22.00,32.03
11,-12.19,16.69
12,-52.03,14.63
13,-18.40,27.48
14,-36.71,19.74
15,-75.31,13.21
16,-14.98,19.47
17,-90.14,33.20
18,-21.95,20.83
19,-17.75,21.17
20,-37.23,13.77
21,-13.12,23.37
22,-16.90,14.85
23,-14.85,32.03
24,-137.00,14.65
25,-26.22,22.56
26,-21.25,12.27